# Tl12Br3O5 | the Alexandria database | PBE | optimized geometry
# raw total energy	-3.3899	eV per atom
# total magnetization	3.59	Bohr magnetons per cell
# symmetry	Ia-3d, No. 230
# DOS(E_F)	12.56	states/eV/f.u.
# ΔE_f (raw)	-0.480	eV/atom
data_Tl12Br3O5
_space_group_name_H-M_alt 'P 1'
_space_group_IT_number 1
_space_group_name_Hall 'P 1'
_cell_length_a 14.735
_cell_length_b 14.735
_cell_length_c 14.735
_cell_angle_alpha 109.47
_cell_angle_beta 109.47
_cell_angle_gamma 109.47
loop_
_atom_site_label
_atom_site_type_symbol
_atom_site_fract_x
_atom_site_fract_y
_atom_site_fract_z
O1 O 0.000 0.000 0.500
O2 O 0.375 0.250 0.125
O3 O 0.625 0.875 0.250
O4 O 0.125 0.750 0.375
O5 O 0.625 0.750 0.875
O6 O 0.875 0.625 0.750
O7 O 0.500 0.500 0.000
O8 O 0.500 0.000 0.000
O9 O 0.000 0.500 0.000
O10 O 0.500 0.500 0.500
O11 O 0.750 0.125 0.875
O12 O 0.250 0.875 0.125
O13 O 0.875 0.250 0.625
O14 O 0.750 0.625 0.375
O15 O 0.125 0.375 0.250
O16 O 0.500 0.000 0.500
O17 O 0.375 0.125 0.750
O18 O 0.000 0.000 0.000
O19 O 0.000 0.500 0.500
O20 O 0.250 0.375 0.625
Tl1 Tl 0.905 0.089 0.889
Tl2 Tl 0.316 0.516 0.405
Tl3 Tl 0.611 0.016 0.200
Tl4 Tl 0.800 0.316 0.911
Tl5 Tl 0.200 0.516 0.611
Tl6 Tl 0.684 0.200 0.589
Tl7 Tl 0.800 0.484 0.389
Tl8 Tl 0.484 0.800 0.889
Tl9 Tl 0.484 0.684 0.095
Tl10 Tl 0.300 0.889 0.984
Tl11 Tl 0.405 0.389 0.589
Tl12 Tl 0.411 0.111 0.595
Tl13 Tl 0.516 0.316 0.905
Tl14 Tl 0.984 0.595 0.184
Tl15 Tl 0.405 0.016 0.316
Tl16 Tl 0.611 0.595 0.911
Tl17 Tl 0.516 0.200 0.111
Tl18 Tl 0.184 0.089 0.700
Tl19 Tl 0.700 0.589 0.184
Tl20 Tl 0.300 0.411 0.816
Tl21 Tl 0.016 0.405 0.816
Tl22 Tl 0.389 0.405 0.089
Tl23 Tl 0.684 0.484 0.595
Tl24 Tl 0.816 0.905 0.016
Tl25 Tl 0.316 0.800 0.411
Tl26 Tl 0.816 0.911 0.300
Tl27 Tl 0.589 0.700 0.684
Tl28 Tl 0.911 0.095 0.611
Tl29 Tl 0.700 0.111 0.016
Tl30 Tl 0.589 0.889 0.405
Tl31 Tl 0.095 0.911 0.111
Tl32 Tl 0.911 0.816 0.800
Tl33 Tl 0.905 0.816 0.516
Tl34 Tl 0.984 0.389 0.300
Tl35 Tl 0.389 0.984 0.800
Tl36 Tl 0.089 0.184 0.200
Tl37 Tl 0.111 0.700 0.516
Tl38 Tl 0.889 0.300 0.484
Tl39 Tl 0.200 0.684 0.089
Tl40 Tl 0.595 0.984 0.684
Tl41 Tl 0.889 0.589 0.905
Tl42 Tl 0.089 0.905 0.389
Tl43 Tl 0.095 0.184 0.484
Tl44 Tl 0.184 0.095 0.984
Tl45 Tl 0.595 0.611 0.411
Tl46 Tl 0.111 0.411 0.095
Tl47 Tl 0.411 0.300 0.316
Tl48 Tl 0.016 0.611 0.700
Br1 Br 0.125 0.875 0.750
Br2 Br 0.625 0.375 0.750
Br3 Br 0.625 0.250 0.375
Br4 Br 0.125 0.250 0.875
Br5 Br 0.375 0.625 0.250
Br6 Br 0.250 0.125 0.375
Br7 Br 0.750 0.375 0.125
Br8 Br 0.875 0.125 0.250
Br9 Br 0.250 0.625 0.875
Br10 Br 0.750 0.875 0.625
Br11 Br 0.375 0.750 0.625
Br12 Br 0.875 0.750 0.125

---

# Mg2Ge2Br | the Alexandria database | PBE | optimized geometry
# raw total energy	-3.0488	eV per atom
# total magnetization	0.00	Bohr magnetons per cell
# symmetry	P4/mbm, No. 127
# DOS(E_F)	1.00	states/eV/f.u.
# ΔE_f (raw)	-0.229	eV/atom
data_Mg2Ge2Br
_space_group_name_H-M_alt 'P 1'
_space_group_IT_number 1
_space_group_name_Hall 'P 1'
_cell_length_a 7.736
_cell_length_b 7.736
_cell_length_c 3.750
_cell_angle_alpha 90.00
_cell_angle_beta 90.00
_cell_angle_gamma 90.00
loop_
_atom_site_label
_atom_site_type_symbol
_atom_site_fract_x
_atom_site_fract_y
_atom_site_fract_z
Mg1 Mg 0.184 0.316 0.000
Mg2 Mg 0.316 0.816 0.000
Mg3 Mg 0.684 0.184 0.000
Mg4 Mg 0.816 0.684 0.000
Br1 Br 0.000 0.000 0.000
Br2 Br 0.500 0.500 0.000
Ge1 Ge 0.389 0.111 0.500
Ge2 Ge 0.889 0.389 0.500
Ge3 Ge 0.111 0.611 0.500
Ge4 Ge 0.611 0.889 0.500

---

# Tb6Sn3Bi | the Alexandria database | PBE | optimized geometry
# raw total energy	-4.8721	eV per atom
# total magnetization	0.00	Bohr magnetons per cell
# symmetry	Cmc2_1, No. 36
# DOS(E_F)	8.09	states/eV/f.u.
# formation enthalpy at 0 K	-5.050	eV per formula unit
data_Tb6Sn3Bi
_space_group_name_H-M_alt 'P 1'
_space_group_IT_number 1
_space_group_name_Hall 'P 1'
_cell_length_a 7.688
_cell_length_b 9.327
_cell_length_c 9.327
_cell_angle_alpha 109.85
_cell_angle_beta 90.00
_cell_angle_gamma 90.00
loop_
_atom_site_label
_atom_site_type_symbol
_atom_site_fract_x
_atom_site_fract_y
_atom_site_fract_z
Sn1 Sn 0.972 0.720 0.950
Sn2 Sn 0.343 0.429 0.571
Sn3 Sn 0.472 0.950 0.720
Sn4 Sn 0.472 0.280 0.050
Sn5 Sn 0.843 0.571 0.429
Sn6 Sn 0.972 0.050 0.280
Tb1 Tb 0.760 0.018 0.982
Tb2 Tb 0.260 0.982 0.018
Tb3 Tb 0.757 0.912 0.481
Tb4 Tb 0.126 0.744 0.655
Tb5 Tb 0.626 0.655 0.744
Tb6 Tb 0.257 0.481 0.912
Tb7 Tb 0.126 0.345 0.256
Tb8 Tb 0.626 0.256 0.345
Tb9 Tb 0.652 0.274 0.726
Tb10 Tb 0.757 0.519 0.088
Tb11 Tb 0.152 0.726 0.274
Tb12 Tb 0.257 0.088 0.519
Bi1 Bi 0.021 0.171 0.829
Bi2 Bi 0.521 0.829 0.171

---

# BeAu2Br2 | the Alexandria database | PBE | optimized geometry
# raw total energy	-2.4880	eV per atom
# total magnetization	0.00	Bohr magnetons per cell
# symmetry	P4/mbm, No. 127
# DOS(E_F)	1.82	states/eV/f.u.
# ΔE_f (raw)	0.237	eV/atom
data_BeAu2Br2
_space_group_name_H-M_alt 'P 1'
_space_group_IT_number 1
_space_group_name_Hall 'P 1'
_cell_length_a 6.811
_cell_length_b 6.811
_cell_length_c 5.122
_cell_angle_alpha 90.00
_cell_angle_beta 90.00
_cell_angle_gamma 90.00
loop_
_atom_site_label
_atom_site_type_symbol
_atom_site_fract_x
_atom_site_fract_y
_atom_site_fract_z
Au1 Au 0.229 0.729 0.000
Au2 Au 0.271 0.229 0.000
Au3 Au 0.729 0.771 0.000
Au4 Au 0.771 0.271 0.000
Br1 Br 0.812 0.312 0.500
Br2 Br 0.188 0.688 0.500
Br3 Br 0.312 0.188 0.500
Br4 Br 0.688 0.812 0.500
Be1 Be 0.000 0.000 0.000
Be2 Be 0.500 0.500 0.000

---

# Hf2TiOsBr | the Alexandria database | PBE | optimized geometry
# raw total energy	-7.1639	eV per atom
# total magnetization	2.39	Bohr magnetons per cell
# symmetry	P4/mmm, No. 123
# DOS(E_F)	5.15	states/eV/f.u.
# ΔE_f (raw)	0.977	eV/atom
data_Hf2TiOsBr
_space_group_name_H-M_alt 'P 1'
_space_group_IT_number 1
_space_group_name_Hall 'P 1'
_cell_length_a 4.981
_cell_length_b 5.254
_cell_length_c 4.981
_cell_angle_alpha 90.00
_cell_angle_beta 90.00
_cell_angle_gamma 90.00
loop_
_atom_site_label
_atom_site_type_symbol
_atom_site_fract_x
_atom_site_fract_y
_atom_site_fract_z
Hf1 Hf 0.500 0.000 0.000
Hf2 Hf 0.000 0.000 0.500
Os1 Os 0.000 0.000 0.000
Ti1 Ti 0.500 0.500 0.500
Br1 Br 0.000 0.500 0.000

---

# ScP2Rh | the Alexandria database | PBE | optimized geometry
# raw total energy	-6.8295	eV per atom
# total magnetization	0.00	Bohr magnetons per cell
# symmetry	Immm, No. 71
# DOS(E_F)	1.34	states/eV/f.u.
# formation enthalpy at 0 K	-2.815	eV per formula unit
data_ScP2Rh
_space_group_name_H-M_alt 'P 1'
_space_group_IT_number 1
_space_group_name_Hall 'P 1'
_cell_length_a 4.557
_cell_length_b 4.557
_cell_length_c 4.557
_cell_angle_alpha 130.14
_cell_angle_beta 108.89
_cell_angle_gamma 91.81
loop_
_atom_site_label
_atom_site_type_symbol
_atom_site_fract_x
_atom_site_fract_y
_atom_site_fract_z
Sc1 Sc 0.250 0.750 0.500
P1 P 0.964 0.964 0.000
P2 P 0.536 0.536 0.000
Rh1 Rh 0.750 0.250 0.500

---

# AlGaO3 | the Alexandria database | PBE | optimized geometry
# raw total energy	-5.3132	eV per atom
# total magnetization	0.00	Bohr magnetons per cell
# symmetry	Pm-3m, No. 221
# DOS(E_F)	1.24	states/eV/f.u.
# ΔE_f (raw)	-0.984	eV/atom
data_AlGaO3
_space_group_name_H-M_alt 'P 1'
_space_group_IT_number 1
_space_group_name_Hall 'P 1'
_cell_length_a 3.732
_cell_length_b 3.732
_cell_length_c 3.732
_cell_angle_alpha 90.00
_cell_angle_beta 90.00
_cell_angle_gamma 90.00
loop_
_atom_site_label
_atom_site_type_symbol
_atom_site_fract_x
_atom_site_fract_y
_atom_site_fract_z
Al1 Al 0.500 0.500 0.500
Ga1 Ga 0.000 0.000 0.000
O1 O 0.000 0.000 0.500
O2 O 0.000 0.500 0.000
O3 O 0.500 0.000 0.000

---

# Cd5In2Hg3Pb2 | the Alexandria database | PBE | optimized geometry
# raw total energy	-1.4922	eV per atom
# total magnetization	0.00	Bohr magnetons per cell
# symmetry	I4/mmm, No. 139
# DOS(E_F)	4.67	states/eV/f.u.
# formation enthalpy at 0 K	0.468	eV per formula unit
data_Cd5In2Hg3Pb2
_space_group_name_H-M_alt 'P 1'
_space_group_IT_number 1
_space_group_name_Hall 'P 1'
_cell_length_a 4.363
_cell_length_b 4.363
_cell_length_c 16.870
_cell_angle_alpha 97.43
_cell_angle_beta 97.43
_cell_angle_gamma 90.00
loop_
_atom_site_label
_atom_site_type_symbol
_atom_site_fract_x
_atom_site_fract_y
_atom_site_fract_z
Pb1 Pb 0.231 0.231 0.463
Pb2 Pb 0.769 0.769 0.537
Cd1 Cd 0.928 0.428 0.856
Cd2 Cd 0.572 0.072 0.144
Cd3 Cd 0.500 0.500 0.000
Cd4 Cd 0.428 0.928 0.856
Cd5 Cd 0.072 0.572 0.144
Hg1 Hg 0.138 0.138 0.275
Hg2 Hg 0.862 0.862 0.725
Hg3 Hg 0.000 0.000 0.000
In1 In 0.665 0.665 0.329
In2 In 0.335 0.335 0.671

---

# NpTe5 | the Alexandria database | PBE | optimized geometry
# raw total energy	-4.9762	eV per atom
# total magnetization	3.23	Bohr magnetons per cell
# symmetry	Cmmm, No. 65
# DOS(E_F)	9.79	states/eV/f.u.
# ΔE_f (raw)	-0.201	eV/atom
data_NpTe5
_space_group_name_H-M_alt 'P 1'
_space_group_IT_number 1
_space_group_name_Hall 'P 1'
_cell_length_a 4.421
_cell_length_b 4.478
_cell_length_c 9.500
_cell_angle_alpha 103.63
_cell_angle_beta 90.00
_cell_angle_gamma 90.00
loop_
_atom_site_label
_atom_site_type_symbol
_atom_site_fract_x
_atom_site_fract_y
_atom_site_fract_z
Te1 Te 0.500 0.145 0.291
Te2 Te 0.000 0.354 0.707
Te3 Te 0.500 0.500 0.000
Te4 Te 0.500 0.855 0.709
Te5 Te 0.000 0.646 0.293
Np1 Np 0.000 0.000 0.000

---

# NiAuS2 | the Alexandria database | PBE | optimized geometry
# raw total energy	-4.4214	eV per atom
# total magnetization	0.02	Bohr magnetons per cell
# symmetry	P2_1/c, No. 14
# DOS(E_F)	3.15	states/eV/f.u.
# ΔE_f (raw)	-0.093	eV/atom
data_NiAuS2
_space_group_name_H-M_alt 'P 1'
_space_group_IT_number 1
_space_group_name_Hall 'P 1'
_cell_length_a 14.695
_cell_length_b 6.890
_cell_length_c 5.408
_cell_angle_alpha 90.00
_cell_angle_beta 136.23
_cell_angle_gamma 90.00
loop_
_atom_site_label
_atom_site_type_symbol
_atom_site_fract_x
_atom_site_fract_y
_atom_site_fract_z
Au1 Au 0.001 0.250 0.001
Au2 Au 0.999 0.750 0.999
Au3 Au 0.499 0.750 0.499
Au4 Au 0.501 0.250 0.501
Ni1 Ni 0.750 0.998 0.750
Ni2 Ni 0.250 0.002 0.250
Ni3 Ni 0.250 0.502 0.250
Ni4 Ni 0.750 0.498 0.750
S1 S 0.271 0.752 0.046
S2 S 0.272 0.252 0.049
S3 S 0.771 0.748 0.546
S4 S 0.729 0.248 0.954
S5 S 0.229 0.252 0.454
S6 S 0.228 0.752 0.451
S7 S 0.772 0.248 0.549
S8 S 0.728 0.748 0.951

---

Q: Which of these has the lowest raw total energy?
A: Hf2TiOsBr